(1)
# Al2CoPOs, optimized geometry, DFT GGA-PBE
data_Al2CoPOs
_chemical_formula_sum 'Al2 Co1 P1 Os1'
_symmetry_space_group_name_H-M 'P 4/m m m'
_symmetry_Int_Tables_number 123
_symmetry_space_group_name_Hall '-P 4 2'
_cell_length_a 4.835
_cell_length_b 4.835
_cell_length_c 4.353
_cell_angle_alpha 90.00
_cell_angle_beta 90.00
_cell_angle_gamma 90.00
loop_
_atom_site_label
_atom_site_type_symbol
_atom_site_fract_x
_atom_site_fract_y
_atom_site_fract_z
Al1 Al 0.000 0.500 0.000
Co1 Co 0.000 0.000 0.500
P1 P 0.500 0.500 0.500
Os1 Os 0.500 0.500 0.000
# Calculated total energy in eV/atom: -5.585
# D(E_F) in states/eV per cell: 2.33
# ΔH_f (0 K) in eV per atom: 0.6615
# Spin magnetization in μB per cell: 2.02

(2)
# PaAlCoOs, optimized geometry, DFT GGA-PBE
data_PaAlCoOs
_chemical_formula_sum 'Pa4 Al4 Co4 Os4'
_symmetry_space_group_name_H-M 'F -4 3 m'
_symmetry_Int_Tables_number 216
_symmetry_space_group_name_Hall 'F -4 2 3'
_cell_length_a 6.471
_cell_length_b 6.471
_cell_length_c 6.471
_cell_angle_alpha 90.00
_cell_angle_beta 90.00
_cell_angle_gamma 90.00
loop_
_atom_site_label
_atom_site_type_symbol
_atom_site_fract_x
_atom_site_fract_y
_atom_site_fract_z
Pa1 Pa 0.000 0.000 0.000
Al1 Al 0.000 0.000 0.500
Co1 Co 0.250 0.250 0.750
Os1 Os 0.250 0.250 0.250
# Calculated total energy in eV/atom: -8.170
# D(E_F) in states/eV per cell: 17.64
# ΔH_f (0 K) in eV per atom: -0.2763
# Spin magnetization in μB per cell: 3.31

Question: Which of these has the lowest D(E_F)?
Answer: Al2CoPOs

Question: Which of these has the highest spin magnetization?
Answer: PaAlCoOs

Question: Which formula does entry 1 have?
Answer: Al2CoPOs